DFT (GGA-PBE) results for a geometry-optimized RbCr2SnN structure.

a b c (Å): 6.3435 6.3435 6.7031
angles (deg): 90.00 90.00 90.00
Closest atoms and distances in Å follow each position.
Sites, in units of the cell vectors:
Rb  0.0000  0.0000  0.0000  4 Cr 3.17, 2 Sn 3.35
Cr  0.0000  0.5000  0.0000  2 Rb 3.17
Cr  0.5000  0.0000  0.0000  2 Rb 3.17
Sn  0.0000  0.0000  0.5000  2 Rb 3.35
N  0.5000  0.5000  0.5000  4 Sn 4.49, 8 Cr 4.61

Properties
**M_tot**: 12.03 μB per cell
**E_tot**: -3.651 eV/atom
**V**: 270 Å³/f.u.